w) Density functional theory data (PBE-GGA) for a relaxed structure of PrMg3Ag.

The density of states at the Fermi level comes out at 0.872 states/eV/atom. As for the total magnetic moment: 0.00 μB per atom.

Cell lengths 9.3194, 4.4117, 12.1676 Å; angles 90.00, 90.00, 90.00 degrees
Closest atoms and distances in Å follow each position.
Positions (direct):
Pr (0.1672, 0.2500, 0.0071)  2 Ag 3.28, 6 Mg 3.45-3.58
Pr (0.3328, 0.7500, 0.5071)  2 Ag 3.28, 6 Mg 3.45-3.58
Pr (0.6672, 0.2500, 0.4929)  2 Ag 3.28, 6 Mg 3.45-3.58
Pr (0.8328, 0.7500, 0.9929)  2 Ag 3.28, 6 Mg 3.45-3.58
Mg (0.0543, 0.2500, 0.4155)  3 Ag 2.76-2.88
Mg (0.0997, 0.7500, 0.2269)  2 Ag 2.74-2.75
Mg (0.1470, 0.7500, 0.7892)  2 Ag 2.90, 4 Mg 3.12-3.19
Mg (0.3530, 0.2500, 0.2892)  2 Ag 2.90, 4 Mg 3.12-3.19
Mg (0.4003, 0.2500, 0.7269)  2 Ag 2.74-2.75
Mg (0.4457, 0.7500, 0.9155)  3 Ag 2.76-2.88
Mg (0.5543, 0.2500, 0.0845)  3 Ag 2.76-2.88
Mg (0.5997, 0.7500, 0.2731)  2 Ag 2.74-2.75
Mg (0.6470, 0.7500, 0.7108)  2 Ag 2.90, 4 Mg 3.12-3.19
Mg (0.8530, 0.2500, 0.2108)  2 Ag 2.90, 4 Mg 3.12-3.19
Mg (0.9003, 0.2500, 0.7731)  2 Ag 2.74-2.75
Mg (0.9457, 0.7500, 0.5845)  3 Ag 2.76-2.88
Ag (0.1328, 0.2500, 0.6344)  7 Mg 2.74-2.90
Ag (0.3672, 0.7500, 0.1344)  7 Mg 2.74-2.90
Ag (0.6328, 0.2500, 0.8656)  7 Mg 2.74-2.90
Ag (0.8672, 0.7500, 0.3656)  7 Mg 2.74-2.90

=====

x) Density functional theory data (PBE-GGA) for a relaxed structure of PrMg3Ag.

The density of states at the Fermi level comes out at 0.407 states/eV/atom. As for the total magnetic moment: 0.00 μB per atom.

Cell lengths 5.0961, 5.0961, 5.0961 Å; angles 90.00, 90.00, 90.00 degrees
Closest atoms and distances in Å follow each position.
Positions (direct):
Pr (0.0000, 0.0000, 0.0000)  12 Mg 3.60
Mg (0.0000, 0.5000, 0.5000)  2 Ag 2.55
Mg (0.5000, 0.0000, 0.5000)  2 Ag 2.55
Mg (0.5000, 0.5000, 0.0000)  2 Ag 2.55
Ag (0.5000, 0.5000, 0.5000)  6 Mg 2.55

=====

w) is the most stable structure; the next one sits 140 meV per atom above it.

=====

w) Density functional theory data (PBE-GGA) for a relaxed structure of Mg3AgPt.

The density of states at the Fermi level comes out at 0.415 states/eV/atom. As for the total magnetic moment: 0.00 μB per atom.

Cell lengths 4.9753, 4.9753, 4.9753 Å; angles 90.00, 90.00, 90.00 degrees
Closest atoms and distances in Å follow each position.
Positions (direct):
Mg (0.0000, 0.0000, 0.5000)  2 Pt 2.49
Mg (0.0000, 0.5000, 0.0000)  2 Pt 2.49
Mg (0.5000, 0.0000, 0.0000)  2 Pt 2.49
Ag (0.5000, 0.5000, 0.5000)  12 Mg 3.52
Pt (0.0000, 0.0000, 0.0000)  6 Mg 2.49

=====

x) Density functional theory data (PBE-GGA) for a relaxed structure of Mg3AgPt.

The density of states at the Fermi level comes out at 0.369 states/eV/atom. As for the total magnetic moment: 0.00 μB per atom.

Cell lengths 8.7488, 8.7488, 5.7226 Å; angles 90.35, 90.35, 66.65 degrees
Closest atoms and distances in Å follow each position.
Positions (direct):
Mg (0.0512, 0.1362, 0.3801)  2 Pt 2.60-2.83, 1 Ag 2.80
Mg (0.0616, 0.5096, 0.7690)  3 Pt 2.60-2.75, 1 Mg 2.89
Mg (0.1362, 0.0512, 0.8801)  2 Pt 2.60-2.83, 1 Ag 2.80
Mg (0.3357, 0.4621, 0.3595)  2 Pt 2.69-2.73, 3 Ag 2.79-2.99
Mg (0.4621, 0.3357, 0.8595)  2 Pt 2.69-2.73, 3 Ag 2.79-2.99
Mg (0.4904, 0.9384, 0.7310)  3 Pt 2.60-2.75, 1 Mg 2.89
Mg (0.5096, 0.0616, 0.2690)  3 Pt 2.60-2.75, 1 Mg 2.89
Mg (0.5379, 0.6643, 0.1405)  2 Pt 2.69-2.73, 3 Ag 2.79-2.99
Mg (0.6643, 0.5379, 0.6405)  2 Pt 2.69-2.73, 3 Ag 2.79-2.99
Mg (0.8638, 0.9488, 0.1199)  2 Pt 2.60-2.83, 1 Ag 2.80
Mg (0.9384, 0.4904, 0.2310)  3 Pt 2.60-2.75, 1 Mg 2.89
Mg (0.9488, 0.8638, 0.6199)  2 Pt 2.60-2.83, 1 Ag 2.80
Ag (0.1998, 0.8002, 0.2500)  6 Mg 2.79-2.95, 2 Ag 3.02
Ag (0.3016, 0.6984, 0.7500)  8 Mg 2.94-3.15, 2 Ag 3.02
Ag (0.6984, 0.3016, 0.2500)  8 Mg 2.94-3.15, 2 Ag 3.02
Ag (0.8002, 0.1998, 0.7500)  6 Mg 2.79-2.95, 2 Ag 3.02
Pt (0.2301, 0.2655, 0.0875)  7 Mg 2.60-2.83, 2 Pt 2.88
Pt (0.2655, 0.2301, 0.5875)  7 Mg 2.60-2.83, 2 Pt 2.88
Pt (0.7345, 0.7699, 0.4125)  7 Mg 2.60-2.83, 2 Pt 2.88
Pt (0.7699, 0.7345, 0.9125)  7 Mg 2.60-2.83, 2 Pt 2.88

=====

x) is the most stable structure; the next one sits 222 meV per atom above it.

=====

w) Density functional theory data (PBE-GGA) for a relaxed structure of Mg4AgPt.

The density of states at the Fermi level comes out at 0.350 states/eV/atom. As for the total magnetic moment: 0.00 μB per atom.

Cell lengths 4.5242, 4.5242, 6.4251 Å; angles 90.00, 90.00, 90.00 degrees
Closest atoms and distances in Å follow each position.
Positions (direct):
Mg (0.0000, 0.5000, 0.2361)  2 Pt 2.72, 2 Ag 2.83, 1 Mg 3.03
Mg (0.0000, 0.5000, 0.7639)  2 Pt 2.72, 2 Ag 2.83, 1 Mg 3.03
Mg (0.5000, 0.0000, 0.2361)  2 Pt 2.72, 2 Ag 2.83, 1 Mg 3.03
Mg (0.5000, 0.0000, 0.7639)  2 Pt 2.72, 2 Ag 2.83, 1 Mg 3.03
Ag (0.0000, 0.0000, 0.5000)  8 Mg 2.83
Pt (0.5000, 0.5000, 0.0000)  8 Mg 2.72

=====

x) Density functional theory data (PBE-GGA) for a relaxed structure of Mg4AgPt.

The density of states at the Fermi level comes out at 0.415 states/eV/atom. As for the total magnetic moment: 0.00 μB per atom.

Cell lengths 5.4458, 5.4458, 5.4458 Å; angles 60.00, 60.00, 60.00 degrees
Closest atoms and distances in Å follow each position.
Positions (direct):
Mg (0.1246, 0.1246, 0.1246)  6 Mg 2.71-2.73
Mg (0.1246, 0.1246, 0.6264)  6 Mg 2.71-2.73
Mg (0.1246, 0.6264, 0.1246)  6 Mg 2.71-2.73
Mg (0.6264, 0.1246, 0.1246)  6 Mg 2.71-2.73
Ag (0.5000, 0.5000, 0.5000)  12 Mg 3.19, 4 Pt 3.33
Pt (0.7500, 0.7500, 0.7500)  12 Mg 3.19, 4 Ag 3.33

=====

y) Density functional theory data (PBE-GGA) for a relaxed structure of Mg4AgPt.

The density of states at the Fermi level comes out at 0.376 states/eV/atom. As for the total magnetic moment: 0.00 μB per atom.

Cell lengths 10.3133, 3.3950, 6.7593 Å; angles 90.00, 109.13, 90.00 degrees
Closest atoms and distances in Å follow each position.
Positions (direct):
Mg (0.1489, 0.0000, 0.3377)  2 Pt 2.75, 2 Ag 2.86, 3 Mg 2.94-3.01
Mg (0.1532, 0.0000, 0.8138)  2 Pt 2.77, 2 Ag 2.88, 3 Mg 2.94-3.08
Mg (0.3468, 0.5000, 0.1862)  2 Pt 2.77, 2 Ag 2.88, 3 Mg 2.94-3.08
Mg (0.3511, 0.5000, 0.6623)  2 Pt 2.75, 2 Ag 2.86, 3 Mg 2.94-3.01
Mg (0.6489, 0.5000, 0.3377)  2 Pt 2.75, 2 Ag 2.86, 3 Mg 2.94-3.01
Mg (0.6532, 0.5000, 0.8138)  2 Pt 2.77, 2 Ag 2.88, 3 Mg 2.94-3.08
Mg (0.8468, 0.0000, 0.1862)  2 Pt 2.77, 2 Ag 2.88, 3 Mg 2.94-3.08
Mg (0.8511, 0.0000, 0.6623)  2 Pt 2.75, 2 Ag 2.86, 3 Mg 2.94-3.01
Ag (0.0000, 0.5000, 0.0000)  8 Mg 2.86-2.88
Ag (0.5000, 0.0000, 0.0000)  8 Mg 2.86-2.88
Pt (0.0000, 0.5000, 0.5000)  8 Mg 2.75-2.77
Pt (0.5000, 0.0000, 0.5000)  8 Mg 2.75-2.77

=====

y) is the most stable structure; the next one sits 58 meV per atom above it.